[1]
Computed, not measured: AgMo2Ru after structural relaxation at the PBE level of DFT.

DOS at the Fermi energy in states/eV per atom: 0.90
Energy relative to the elements in meV/atom: 366

Structure (CIF):
```
data_AgMo2Ru
_chemical_formula_sum 'Ag2 Mo4 Ru2'
_cell_length_a 5.517
_cell_length_b 8.106
_cell_length_c 2.778
_cell_angle_alpha 90.00
_cell_angle_beta 90.00
_cell_angle_gamma 90.00
_space_group_name_H-M_alt 'C m m m'
_space_group_IT_number 65
_space_group_name_Hall '-C 2 2'
loop_
_atom_site_label
_atom_site_fract_x
_atom_site_fract_y
_atom_site_fract_z
Ag1 0.000 0.000 0.000
Mo1 0.250 0.250 0.500
Ru1 0.000 0.500 0.000
```

=====

[2]
Computed, not measured: Ga3BRu after structural relaxation at the PBE level of DFT.

DOS at the Fermi energy in states/eV per atom: 0.64
Energy relative to the elements in meV/atom: 719

Structure (CIF):
```
data_Ga3BRu
_chemical_formula_sum 'Ga3 B1 Ru1'
_cell_length_a 4.221
_cell_length_b 4.221
_cell_length_c 4.221
_cell_angle_alpha 90.00
_cell_angle_beta 90.00
_cell_angle_gamma 90.00
_space_group_name_H-M_alt 'P m -3 m'
_space_group_IT_number 221
_space_group_name_Hall '-P 4 2 3'
loop_
_atom_site_label
_atom_site_fract_x
_atom_site_fract_y
_atom_site_fract_z
Ga1 0.000 0.000 0.500
B1 0.000 0.000 0.000
Ru1 0.500 0.500 0.500
```

=====

[3]
Computed, not measured: CaLa2SiN after structural relaxation at the PBE level of DFT.

DOS at the Fermi energy in states/eV per atom: 0.43
Formation energy (no corrections) in eV per atom: -0.82

Structure (CIF):
```
data_CaLa2SiN
_chemical_formula_sum 'Ca1 La2 Si1 N1'
_cell_length_a 5.017
_cell_length_b 5.017
_cell_length_c 4.806
_cell_angle_alpha 90.00
_cell_angle_beta 90.00
_cell_angle_gamma 90.00
_space_group_name_H-M_alt 'P 4/m m m'
_space_group_IT_number 123
_space_group_name_Hall '-P 4 2'
loop_
_atom_site_label
_atom_site_fract_x
_atom_site_fract_y
_atom_site_fract_z
Ca1 0.000 0.000 0.000
La1 0.000 0.500 0.500
Si1 0.500 0.500 0.000
N1 0.000 0.000 0.500
```

=====

[4]
Computed, not measured: Cd2FePt9 after structural relaxation at the PBE level of DFT.

DOS at the Fermi energy in states/eV per atom: 1.09
Energy relative to the elements in meV/atom: -204

Structure (CIF):
```
data_Cd2FePt9
_chemical_formula_sum 'Cd2 Fe1 Pt9'
_cell_length_a 3.994
_cell_length_b 3.994
_cell_length_c 12.023
_cell_angle_alpha 90.00
_cell_angle_beta 90.00
_cell_angle_gamma 90.00
_space_group_name_H-M_alt 'P 4/m m m'
_space_group_IT_number 123
_space_group_name_Hall '-P 4 2'
loop_
_atom_site_label
_atom_site_fract_x
_atom_site_fract_y
_atom_site_fract_z
Cd1 0.000 0.000 0.171
Fe1 0.000 0.000 0.500
Pt1 0.000 0.500 0.000
Pt2 0.000 0.500 0.344
Pt3 0.500 0.500 0.172
Pt4 0.500 0.500 0.500
```

=====

[5]
Computed, not measured: Li3Zn3Ga after structural relaxation at the PBE level of DFT.

DOS at the Fermi energy in states/eV per atom: 0.39
Energy relative to the elements in meV/atom: -199

Structure (CIF):
```
data_Li3Zn3Ga
_chemical_formula_sum 'Li6 Zn6 Ga2'
_cell_length_a 7.3673
_cell_length_b 7.3673
_cell_length_c 4.4362
_cell_angle_alpha 90.00
_cell_angle_beta 90.00
_cell_angle_gamma 120.00
_space_group_name_H-M_alt 'P 63/m'
_space_group_IT_number 176
_space_group_name_Hall '-P 6c'
loop_
_atom_site_label
_atom_site_fract_x
_atom_site_fract_y
_atom_site_fract_z
Li1 0.0958 0.6248 0.2500
Zn1 0.0629 0.8187 0.7500
Ga1 0.3333 0.6667 0.7500
```

=====

[6]
Computed, not measured: LaSm2Er7 after structural relaxation at the PBE level of DFT.

DOS at the Fermi energy in states/eV per atom: 1.44
Energy relative to the elements in meV/atom: 693

Structure (CIF):
```
data_LaSm2Er7
_chemical_formula_sum 'La2 Sm4 Er14'
_cell_length_a 8.627
_cell_length_b 16.439
_cell_length_c 5.523
_cell_angle_alpha 90.00
_cell_angle_beta 90.00
_cell_angle_gamma 90.00
_space_group_name_H-M_alt 'C m m m'
_space_group_IT_number 65
_space_group_name_Hall '-C 2 2'
loop_
_atom_site_label
_atom_site_fract_x
_atom_site_fract_y
_atom_site_fract_z
La1 0.000 0.000 0.000
Sm1 0.000 0.297 0.500
Er1 0.000 0.212 0.000
Er2 0.000 0.500 0.500
Er3 0.177 0.114 0.500
```

=====

[7]
Computed, not measured: Cs3Pb after structural relaxation at the PBE level of DFT.

DOS at the Fermi energy in states/eV per atom: 0.84
Energy relative to the elements in meV/atom: 64

Structure (CIF):
```
data_Cs3Pb
_chemical_formula_sum 'Cs3 Pb1'
_cell_length_a 6.300
_cell_length_b 6.300
_cell_length_c 6.300
_cell_angle_alpha 90.00
_cell_angle_beta 90.00
_cell_angle_gamma 90.00
_space_group_name_H-M_alt 'P m -3 m'
_space_group_IT_number 221
_space_group_name_Hall '-P 4 2 3'
loop_
_atom_site_label
_atom_site_fract_x
_atom_site_fract_y
_atom_site_fract_z
Cs1 0.000 0.000 0.500
Pb1 0.500 0.500 0.500
```

=====

[8]
Computed, not measured: K3O2 after structural relaxation at the PBE level of DFT.

DOS at the Fermi energy in states/eV per atom: 0.26
Formation energy (no corrections) in eV per atom: -0.93

Structure (CIF):
```
data_K3O2
_chemical_formula_sum 'K6 O4'
_cell_length_a 8.705
_cell_length_b 4.439
_cell_length_c 5.700
_cell_angle_alpha 90.00
_cell_angle_beta 97.33
_cell_angle_gamma 90.00
_space_group_name_H-M_alt 'C 1 2/m 1'
_space_group_IT_number 12
_space_group_name_Hall '-C 2y'
loop_
_atom_site_label
_atom_site_fract_x
_atom_site_fract_y
_atom_site_fract_z
K1 0.000 0.000 0.000
K2 0.170 0.500 0.697
O1 0.137 0.500 0.215
```

=====

[9]
Computed, not measured: Pr2InSe after structural relaxation at the PBE level of DFT.

DOS at the Fermi energy in states/eV per atom: 1.13
Formation energy (no corrections) in eV per atom: -1.04

Structure (CIF):
```
data_Pr2InSe
_chemical_formula_sum 'Pr6 In3 Se3'
_cell_length_a 4.0859
_cell_length_b 4.0859
_cell_length_c 25.4985
_cell_angle_alpha 90.00
_cell_angle_beta 90.00
_cell_angle_gamma 120.00
_space_group_name_H-M_alt 'R 3 m'
_space_group_IT_number 160
_space_group_name_Hall 'R 3 -2"'
loop_
_atom_site_label
_atom_site_fract_x
_atom_site_fract_y
_atom_site_fract_z
Pr1 0.0000 0.0000 0.0000
Pr2 0.0000 0.0000 0.1904
In1 0.0000 0.0000 0.4280
Se1 0.0000 0.0000 0.5962
```

=====

[10]
Computed, not measured: NbTl3Br2Cl6 after structural relaxation at the PBE level of DFT.

Formation energy (no corrections) in eV per atom: -1.05

Structure (CIF):
```
data_NbTl3Br2Cl6
_chemical_formula_sum 'Nb2 Tl6 Br4 Cl12'
_cell_length_a 16.105
_cell_length_b 8.975
_cell_length_c 5.936
_cell_angle_alpha 90.00
_cell_angle_beta 90.23
_cell_angle_gamma 90.00
_space_group_name_H-M_alt 'C 1 2/m 1'
_space_group_IT_number 12
_space_group_name_Hall '-C 2y'
loop_
_atom_site_label
_atom_site_fract_x
_atom_site_fract_y
_atom_site_fract_z
Nb1 0.000 0.000 0.000
Tl1 0.000 0.500 0.500
Tl2 0.250 0.250 0.000
Br1 0.187 0.500 0.655
Cl1 0.063 0.189 0.228
Cl2 0.120 0.000 0.765
```

=====

[11]
Computed, not measured: Li2Mg5 after structural relaxation at the PBE level of DFT.

DOS at the Fermi energy in states/eV per atom: 0.31
Energy relative to the elements in meV/atom: -37

Structure (CIF):
```
data_Li2Mg5
_chemical_formula_sum 'Li8 Mg20'
_cell_length_a 13.933
_cell_length_b 5.343
_cell_length_c 8.209
_cell_angle_alpha 90.00
_cell_angle_beta 95.99
_cell_angle_gamma 90.00
_space_group_name_H-M_alt 'C 1 2/c 1'
_space_group_IT_number 15
_space_group_name_Hall '-C 2yc'
loop_
_atom_site_label
_atom_site_fract_x
_atom_site_fract_y
_atom_site_fract_z
Li1 0.073 0.182 0.106
Mg1 0.000 0.305 0.750
Mg2 0.139 0.319 0.462
Mg3 0.215 0.174 0.822
```

=====

[12]
Computed, not measured: BaNb2Pb after structural relaxation at the PBE level of DFT.

DOS at the Fermi energy in states/eV per atom: 1.48
Energy relative to the elements in meV/atom: 1199

Structure (CIF):
```
data_BaNb2Pb
_chemical_formula_sum 'Ba4 Nb8 Pb4'
_cell_length_a 8.567
_cell_length_b 8.567
_cell_length_c 6.185
_cell_angle_alpha 90.00
_cell_angle_beta 90.00
_cell_angle_gamma 90.00
_space_group_name_H-M_alt 'I -4 2 d'
_space_group_IT_number 122
_space_group_name_Hall 'I -4 2bw'
loop_
_atom_site_label
_atom_site_fract_x
_atom_site_fract_y
_atom_site_fract_z
Ba1 0.000 0.000 0.000
Nb1 0.207 0.250 0.625
Pb1 0.000 0.000 0.500
```